The following is a GGA-PBE calculation of an optimized crystal structure of ScIrRu2, from Alexandria via LeMat-Bulk.

Values from the calculation:
Energy of formation from the pure elements: 0.201 eV per atom
ΔE to the lowest computed polymorph: 456 meV per atom
Volume: 16.858 Å³/atom
Symmetry: I-42d, No. 122

Geometry as POSCAR:
```
ScIrRu2
1.0
-0.933 -3.674 -0.294
0.735 -0.482 3.699
-8.962 0.010 3.736
Ir Ru Sc
2 4 2
Cartesian
-4.997 -2.871 2.572
0.000 0.000 0.000
-6.870 -3.646 5.909
-6.821 -1.534 3.951
-2.764 -2.481 1.203
-1.866 -0.631 3.219
-0.099 -2.078 1.703
-4.163 -1.275 4.569
```